Entry 1:
Density functional theory data (PBE) for a relaxed RbMnNi crystal.

Cell and atoms, written as extended XYZ:
```
6
Lattice="3.429 0.000 0.000 1.698 4.110 0.000 1.541 1.545 12.071" Properties=species:S:1:pos:R:3 pbc="T T T"
Rb 1.697 1.763 3.796
Rb 4.970 3.892 8.275
Mn 3.253 2.059 10.882
Mn 3.414 3.596 1.189
Ni 3.243 4.439 11.629
Ni 3.424 1.215 0.442
```

Summary:
For the density of states at the Fermi level, the calculation gives 0.772 states/eV per atom. As for the calculated density: 3.89 g/cm3. For the total energy, the calculation gives -4.843 eV per atom. The calculation puts the offset from the most stable computed form at 0.18 eV/f.u.

Entry 2:
Density functional theory data (PBE) for a relaxed CaTm2Th3Bi6 crystal.

Cell and atoms, written as extended XYZ:
```
12
Lattice="9.880 -2.276 0.000 9.880 2.276 0.000 -1.995 0.000 8.842" Properties=species:S:1:pos:R:3 pbc="T T T"
Ca 0.000 0.000 0.000
Tm 5.262 0.000 5.897
Tm 12.503 0.000 2.945
Th -0.997 0.000 4.421
Th 6.302 0.000 1.479
Th 11.463 0.000 7.362
Bi 3.119 0.000 0.809
Bi 2.203 0.000 5.100
Bi 8.312 0.000 6.638
Bi 9.453 0.000 2.203
Bi 15.562 0.000 3.742
Bi 14.646 0.000 8.033
```

Summary:
For the density of states at the Fermi level, the calculation gives 0.419 states/eV per atom. As for the calculated density: 9.72 g/cm3. For the total energy, the calculation gives -5.402 eV per atom.

Entry 3:
Density functional theory data (PBE) for a relaxed Sc2ZnF2 crystal.

Cell and atoms, written as extended XYZ:
```
5
Lattice="-1.708 1.708 6.403 1.708 -1.708 6.403 1.708 1.708 -6.403" Properties=species:S:1:pos:R:3 pbc="T T T"
Sc 0.000 0.000 1.755
Sc 0.000 0.000 11.052
Zn 0.000 0.000 6.403
F 1.708 0.000 3.202
F 0.000 1.708 3.202
```

Summary:
For the density of states at the Fermi level, the calculation gives 0.506 states/eV per atom. As for the calculated density: 4.30 g/cm3. For the total energy, the calculation gives -5.657 eV per atom. Its raw formation energy is -2.12 eV/atom.

Entry 4:
Density functional theory data (PBE) for a relaxed La5ErP6 crystal.

Cell and atoms, written as extended XYZ:
```
12
Lattice="3.661 -6.342 0.000 3.661 6.342 0.000 -2.444 0.000 6.902" Properties=species:S:1:pos:R:3 pbc="T T T"
La 0.000 0.000 0.000
La 2.440 4.232 3.451
La 3.661 2.123 0.000
La 3.661 -2.123 0.000
La 2.440 -4.232 3.451
Er 2.440 0.000 3.451
P 1.253 2.058 1.765
P 0.065 0.000 5.142
P 1.253 -2.058 1.765
P 3.626 2.058 5.138
P 4.814 0.000 1.760
P 3.626 -2.058 5.138
```

Summary:
For the density of states at the Fermi level, the calculation gives 0.059 states/eV per atom. As for the calculated density: 5.43 g/cm3. For the total energy, the calculation gives -6.703 eV per atom.

Entry 5:
Density functional theory data (PBE) for a relaxed BaTa3F crystal.

Cell and atoms, written as extended XYZ:
```
5
Lattice="5.138 0.000 0.000 0.000 5.138 0.000 0.000 0.000 5.138" Properties=species:S:1:pos:R:3 pbc="T T T"
Ba 0.000 0.000 0.000
Ta 0.000 0.000 2.569
Ta 0.000 2.569 0.000
Ta 2.569 0.000 0.000
F 2.569 2.569 2.569
```

Summary:
For the density of states at the Fermi level, the calculation gives 1.437 states/eV per atom. As for the calculated density: 8.56 g/cm3. For the total energy, the calculation gives -4.875 eV per atom. Its raw formation energy is 3.00 eV/atom. The calculation puts the offset from the most stable computed form at 10.81 eV/f.u.

Entry 6:
Density functional theory data (PBE) for a relaxed Rb2CuAgAu crystal.

Cell and atoms, written as extended XYZ:
```
5
Lattice="6.645 0.000 0.000 0.000 6.645 0.000 0.000 0.000 5.205" Properties=species:S:1:pos:R:3 pbc="T T T"
Rb 0.000 3.322 0.000
Rb 3.322 0.000 0.000
Cu 0.000 0.000 2.603
Ag 3.322 3.322 0.000
Au 3.322 3.322 2.603
```

Summary:
For the density of states at the Fermi level, the calculation gives 0.097 states/eV per atom. As for the calculated density: 3.90 g/cm3. For the total energy, the calculation gives -2.102 eV per atom.

Number 1: calculated volume 28.3 A^3/atom. Number 2: calculated volume 33.1 A^3/atom. Number 3: calculated volume 14.9 A^3/atom. Number 4: calculated volume 26.7 A^3/atom. Number 5: calculated volume 27.1 A^3/atom. Number 6: calculated volume 46.0 A^3/atom.